Density functional theory data (PBE) for a relaxed structure of LiMg2HgH. Values from VASP.

Structure (Quantum ESPRESSO input):
```
&SYSTEM
  ibrav = 0, nat = 5, ntyp = 4
/
ATOMIC_SPECIES
Li 6.94 Li.upf
Mg 24.30 Mg.upf
Hg 200.59 Hg.upf
H 1.01 H.upf
CELL_PARAMETERS angstrom
4.546 0.000 0.000
0.000 4.546 0.000
0.000 0.000 3.793
ATOMIC_POSITIONS angstrom
Li 0.000 0.000 0.000
Mg 0.000 2.273 1.896
Mg 2.273 0.000 1.896
Hg 2.273 2.273 0.000
H 0.000 0.000 1.896
```

**Uncorrected energy**: -1.963 eV per atom
**ρ**: 5.4 g cm⁻³
**Calculated volume**: 78 Å³ per cell
**SG**: No. 123
**Total magnetization**: 0.00 μB/cell